This record from the Alexandria database describes a relaxed structure of Sc2Co. The functional is PBEsol.

Summary:
- DFT formation energy (eV/atom) = -0.2561
- total magnetic moment (μB/atom) = 0.000

Geometry as POSCAR:
```
Sc2Co
1.0
6.203 0.000 0.000
0.000 6.203 0.000
0.000 0.000 5.548
Sc Co
8 4
Direct
0.178 0.322 0.000
0.178 0.678 0.500
0.322 0.178 0.500
0.322 0.822 0.000
0.678 0.178 0.000
0.678 0.822 0.500
0.822 0.322 0.500
0.822 0.678 0.000
0.000 0.000 0.250
0.000 0.000 0.750
0.500 0.500 0.250
0.500 0.500 0.750
```